DFT (SCAN) results for a crystal of BeInTe2 relaxed with PBEsol.

Cell lengths 3.458, 3.458, 7.769 Å; angles 90.00, 90.00, 90.00 degrees
Space group P4/mmm (No. 123)
Asymmetric unit:
Be: 0.000 0.000 0.000
In: 0.000 0.000 0.500
Te: 0.500 0.500 0.198

Calculated values
The offset from the most stable computed form is 465.6 meV per atom. The total energy is -27.687 eV per atom.